Record 1
# PBE SbIrOs2, relaxed
# electronic total energy	-0.612	Ry/atom
# size of the total moment	0.000	μB/f.u.
data_SbIrOs2
_cell_length_a 5.763
_cell_length_b 7.562
_cell_length_c 2.900
_cell_angle_alpha 90.00
_cell_angle_beta 90.00
_cell_angle_gamma 90.00
_symmetry_space_group_name_H-M 'C m m m'
_symmetry_Int_Tables_number 65
_symmetry_space_group_name_Hall '-C 2 2'
loop_
_atom_site_label
_atom_site_type_symbol
_atom_site_fract_x
_atom_site_fract_y
_atom_site_fract_z
Sb1 Sb 0.000 0.000 0.000
Ir1 Ir 0.000 0.500 0.000
Os1 Os 0.250 0.250 0.500

Record 2
# PBE RbAcNd2, relaxed
# calculated formation energy	0.262	eV/atom
# size of the total moment	0.000	μB/f.u.
data_RbAcNd2
_cell_length_a 3.8194
_cell_length_b 3.8194
_cell_length_c 41.8993
_cell_angle_alpha 90.00
_cell_angle_beta 90.00
_cell_angle_gamma 120.00
_symmetry_space_group_name_H-M 'R -3 m'
_symmetry_Int_Tables_number 166
_symmetry_space_group_name_Hall '-R 3 2"'
loop_
_atom_site_label
_atom_site_type_symbol
_atom_site_fract_x
_atom_site_fract_y
_atom_site_fract_z
Rb1 Rb 0.0000 0.0000 0.0000
Ac1 Ac 0.0000 0.0000 0.5000
Nd1 Nd 0.0000 0.0000 0.0941

Record 3
# PBE LiCoRe, relaxed
# calculated formation energy	0.227	eV/atom
# size of the total moment	0.000	μB/f.u.
data_LiCoRe
_cell_length_a 4.0481
_cell_length_b 4.0481
_cell_length_c 2.5359
_cell_angle_alpha 90.00
_cell_angle_beta 90.00
_cell_angle_gamma 120.00
_symmetry_space_group_name_H-M 'P 3 m 1'
_symmetry_Int_Tables_number 156
_symmetry_space_group_name_Hall 'P 3 -2"'
loop_
_atom_site_label
_atom_site_type_symbol
_atom_site_fract_x
_atom_site_fract_y
_atom_site_fract_z
Li1 Li 0.0000 0.0000 0.0000
Co1 Co 0.3333 0.6667 0.7433
Re1 Re 0.6667 0.3333 0.4060

Record 4
# PBE Y2Tl5F12, relaxed
# electronic total energy	-0.382	Ry/atom
# size of the total moment	0.000	μB/f.u.
data_Y2Tl5F12
_cell_length_a 13.970
_cell_length_b 7.923
_cell_length_c 7.518
_cell_angle_alpha 90.00
_cell_angle_beta 121.50
_cell_angle_gamma 90.00
_symmetry_space_group_name_H-M 'C 1 2/m 1'
_symmetry_Int_Tables_number 12
_symmetry_space_group_name_Hall '-C 2y'
loop_
_atom_site_label
_atom_site_type_symbol
_atom_site_fract_x
_atom_site_fract_y
_atom_site_fract_z
Y1 Y 0.000 0.246 0.000
Tl1 Tl 0.000 0.000 0.500
Tl2 Tl 0.197 0.500 0.851
Tl3 Tl 0.221 0.500 0.442
F1 F 0.006 0.500 0.174
F2 F 0.082 0.000 0.965
F3 F 0.097 0.200 0.348
F4 F 0.182 0.315 0.105

Record 5
# PBE MgInCl2, relaxed
# electronic total energy	-0.223	Ry/atom
# size of the total moment	0.000	μB/f.u.
data_MgInCl2
_cell_length_a 3.523
_cell_length_b 3.338
_cell_length_c 11.113
_cell_angle_alpha 90.00
_cell_angle_beta 98.82
_cell_angle_gamma 90.00
_symmetry_space_group_name_H-M 'P 1 2/m 1'
_symmetry_Int_Tables_number 10
_symmetry_space_group_name_Hall '-P 2y'
loop_
_atom_site_label
_atom_site_type_symbol
_atom_site_fract_x
_atom_site_fract_y
_atom_site_fract_z
Mg1 Mg 0.000 0.000 0.000
In1 In 0.500 0.000 0.500
Cl1 Cl 0.196 0.500 0.866

Record 6
# PBE SbSeBr, relaxed
# electronic total energy	-0.255	Ry/atom
# size of the total moment	0.000	μB/f.u.
data_SbSeBr
_cell_length_a 7.213
_cell_length_b 3.864
_cell_length_c 7.827
_cell_angle_alpha 90.00
_cell_angle_beta 92.22
_cell_angle_gamma 90.00
_symmetry_space_group_name_H-M 'P 1 m 1'
_symmetry_Int_Tables_number 6
_symmetry_space_group_name_Hall 'P -2y'
loop_
_atom_site_label
_atom_site_type_symbol
_atom_site_fract_x
_atom_site_fract_y
_atom_site_fract_z
Sb1 Sb 0.000 0.000 0.000
Sb2 Sb 0.057 0.000 0.502
Se1 Se 0.212 0.500 0.320
Se2 Se 0.845 0.500 0.807
Br1 Br 0.328 0.000 0.744
Br2 Br 0.728 0.000 0.222

Record 7
# PBE Pm3Cd2Ag8, relaxed
# calculated formation energy	-0.093	eV/atom
# size of the total moment	0.000	μB/f.u.
data_Pm3Cd2Ag8
_cell_length_a 5.5509
_cell_length_b 5.5509
_cell_length_c 33.4999
_cell_angle_alpha 90.00
_cell_angle_beta 90.00
_cell_angle_gamma 120.00
_symmetry_space_group_name_H-M 'R -3 m'
_symmetry_Int_Tables_number 166
_symmetry_space_group_name_Hall '-R 3 2"'
loop_
_atom_site_label
_atom_site_type_symbol
_atom_site_fract_x
_atom_site_fract_y
_atom_site_fract_z
Pm1 Pm 0.0000 0.0000 0.0000
Pm2 Pm 0.0000 0.0000 0.1888
Cd1 Cd 0.0000 0.0000 0.3624
Ag1 Ag 0.0000 0.0000 0.2804
Ag2 Ag 0.0024 0.5012 0.7663

Record 8
# PBE CaLa2MgO, relaxed
# electronic total energy	-0.356	Ry/atom
# size of the total moment	0.000	μB/f.u.
data_CaLa2MgO
_cell_length_a 5.164
_cell_length_b 5.164
_cell_length_c 4.907
_cell_angle_alpha 90.00
_cell_angle_beta 90.00
_cell_angle_gamma 90.00
_symmetry_space_group_name_H-M 'P 4/m m m'
_symmetry_Int_Tables_number 123
_symmetry_space_group_name_Hall '-P 4 2'
loop_
_atom_site_label
_atom_site_type_symbol
_atom_site_fract_x
_atom_site_fract_y
_atom_site_fract_z
Ca1 Ca 0.000 0.000 0.000
La1 La 0.000 0.500 0.500
Mg1 Mg 0.500 0.500 0.000
O1 O 0.000 0.000 0.500